A.
Here is Li2FeOs after structural relaxation from Alexandria. Energies are from GGA-PBEsol.

Fermi-level density of states in states/eV per cell: 2.43
Space group: Pmm2, No. 25
Total magnetic moment in μB per cell: 0.80
Mass density in g cm⁻³: 8.4

The structure in extended XYZ format:
```
4
Lattice="-0.497 2.484 0.211 -1.014 0.106 -3.635 -5.061 -1.129 1.379" Properties=species:S:1:pos:R:3 pbc="T T T"
Li -0.070 -0.016 0.019
Li -1.974 1.023 -1.380
Fe -4.310 0.502 -0.744
Os -2.748 -0.613 0.749
```

---

B.
Here is Li2FeOs after structural relaxation from Alexandria. Energies are from GGA-PBEsol.

Fermi-level density of states in states/eV per cell: 2.75
Space group: Cmmm, No. 65
Total magnetic moment in μB per cell: 2.32
Mass density in g cm⁻³: 8.2

The structure in extended XYZ format:
```
4
Lattice="-1.997 0.863 -1.294 -0.491 -1.844 1.663 -1.492 6.207 6.442" Properties=species:S:1:pos:R:3 pbc="T T T"
Os -1.990 2.613 3.405
Li -1.117 4.648 4.824
Li -0.375 1.559 1.618
Fe -1.244 -0.491 0.184
```

---

Most stable one: A, least stable one: B.

---

A.
Here is Li2FeOs after structural relaxation from Alexandria. Energies are from GGA-PBEsol.

Fermi-level density of states in states/eV per cell: 2.63
Space group: Fm-3m, No. 225
Total magnetic moment in μB per cell: 3.63
Mass density in g cm⁻³: 9.3

The structure in extended XYZ format:
```
4
Lattice="4.031 0.000 0.000 2.015 3.491 0.000 2.015 1.164 3.291" Properties=species:S:1:pos:R:3 pbc="T T T"
Os 4.031 2.327 1.646
Li 2.015 1.164 0.823
Li 6.046 3.491 2.468
Fe 0.000 0.000 0.000
```

---

B.
Here is Li2FeOs after structural relaxation from Alexandria. Energies are from GGA-PBEsol.

Fermi-level density of states in states/eV per cell: 1.34
Space group: F-43m, No. 216
Total magnetic moment in μB per cell: 0.00
Mass density in g cm⁻³: 9.7

The structure in extended XYZ format:
```
4
Lattice="-1.573 -3.644 -0.295 2.251 -3.204 0.717 -0.617 -2.173 3.277" Properties=species:S:1:pos:R:3 pbc="T T T"
Li 0.000 0.000 0.000
Li 0.015 -2.255 0.925
Os 0.030 -4.510 1.849
Fe 0.045 -6.765 2.774
```

---

Most stable one: B, least stable one: A.